# 1
Compound: Ce2ThTl
Source: Alexandria via LeMat-Bulk
Functional: PBE
Structure: optimized geometry

Cell and atoms, written as CIF:
```
data_Ce2ThTl
_cell_length_a 4.9544
_cell_length_b 4.8197
_cell_length_c 4.8197
_cell_angle_alpha 90.00
_cell_angle_beta 90.00
_cell_angle_gamma 90.00
_symmetry_space_group_name_H-M 'P 1'
_symmetry_Int_Tables_number 1
loop_
_symmetry_equiv_pos_as_xyz
'x,y,z'
loop_
_atom_site_label
_atom_site_fract_x
_atom_site_fract_y
_atom_site_fract_z
Th1 0.5000 0.5000 0.5000
Ce1 0.0000 0.5000 0.0000
Ce2 0.0000 0.0000 0.5000
Tl1 0.5000 0.0000 0.0000
```

crystal system = tetragonal
size of the total moment = 1.65 μB/f.u.
E_form = -0.0871 eV/atom
energy = -5.501 eV per atom

---

# 2
Compound: CuNi2Ru
Source: Alexandria via LeMat-Bulk
Functional: PBE
Structure: optimized geometry

Cell and atoms, written as CIF:
```
data_CuNi2Ru
_cell_length_a 3.5539
_cell_length_b 3.6943
_cell_length_c 3.6943
_cell_angle_alpha 90.00
_cell_angle_beta 90.00
_cell_angle_gamma 90.00
_symmetry_space_group_name_H-M 'P 1'
_symmetry_Int_Tables_number 1
loop_
_symmetry_equiv_pos_as_xyz
'x,y,z'
loop_
_atom_site_label
_atom_site_fract_x
_atom_site_fract_y
_atom_site_fract_z
Cu1 0.5000 0.0000 0.5000
Ru1 0.5000 0.5000 0.0000
Ni1 0.0000 0.0000 0.0000
Ni2 0.0000 0.5000 0.5000
```

crystal system = tetragonal
size of the total moment = 2.51 μB/f.u.
E_form = 0.2263 eV/atom
energy = -6.007 eV per atom

---

# 3
Compound: RbMg2Pt2
Source: Alexandria via LeMat-Bulk
Functional: PBE
Structure: optimized geometry

Cell and atoms, written as CIF:
```
data_RbMg2Pt2
_cell_length_a 4.5532
_cell_length_b 4.5532
_cell_length_c 6.4738
_cell_angle_alpha 69.41
_cell_angle_beta 69.41
_cell_angle_gamma 90.00
_symmetry_space_group_name_H-M 'P 1'
_symmetry_Int_Tables_number 1
loop_
_symmetry_equiv_pos_as_xyz
'x,y,z'
loop_
_atom_site_label
_atom_site_fract_x
_atom_site_fract_y
_atom_site_fract_z
Pt1 0.3811 0.3811 0.2378
Pt2 0.6189 0.6189 0.7622
Mg1 0.2500 0.7500 0.5000
Mg2 0.7500 0.2500 0.5000
Rb1 0.0000 0.0000 0.0000
```

crystal system = tetragonal
size of the total moment = 0.00 μB/f.u.
E_form = -0.4171 eV/atom
energy = -3.665 eV per atom